# SrTaCoO5

SrTaCoO5 after structural relaxation (PBE with a Hubbard U, Alexandria via LeMat-Bulk).

abc: 6.8352 9.4227 7.5531
angles: 90.00 112.69 90.00
Space group C2/c (No. 15)
Unique sites:
Sr  0.0000  0.1716  0.2500 x4
Ta  0.0000  0.5000  0.0000 x4
Co  0.0000  0.1808  0.7500 x4
O  0.0000  0.4381  0.2500 x4
O  0.0885  0.3014  0.5971 x8
O  0.1930  0.0537  0.9151 x8

## Properties
The raw total energy is -62.4 eV/f.u. As for the volume: 448.83 Å³ per cell.